VASP calculation (GGA-PBE) on crystalline GdSnPO at its relaxed geometry.

## Properties
Uncorrected energy, eV/f.u.: -23.61
Energy above the most stable polymorph in this dataset, eV per formula unit: 1.13
M_tot, μB/f.u.: 0.000

Geometry as POSCAR:
```
GdSnPO
1.0
5.514 0.000 0.000
0.000 5.514 0.000
0.000 0.000 5.163
Gd Sn P O
2 2 2 2
Direct
0.250 0.750 0.000
0.750 0.250 0.000
0.250 0.250 0.488
0.750 0.750 0.512
0.250 0.250 0.984
0.750 0.750 0.016
0.250 0.750 0.500
0.750 0.250 0.500
```

---

VASP calculation (GGA-PBE) on crystalline NaBPt at its relaxed geometry.

## Properties
Uncorrected energy, eV/f.u.: -12.72
M_tot, μB/f.u.: 0.001

Geometry as POSCAR:
```
NaBPt
1.0
0.000 2.764 2.764
2.764 0.000 2.764
2.764 2.764 0.000
Na B Pt
1 1 1
Direct
0.000 0.000 0.000
0.250 0.250 0.250
0.500 0.500 0.500
```

---

M_tot of number 2 (NaBPt)?
0.001 μB/f.u.

---

Which of these has the highest uncorrected energy?
NaBPt